A relaxed Ac3MgP2N6 crystal. Source: the Alexandria database, functional PBE.

## Properties
**DOS at the Fermi energy**: 0.34 states/eV per atom
**E_form (uncorrected)**: -1.04 eV per atom

Cell: 5.7271 5.7271 6.6371 Å, 90.00 90.00 120.00°
Element x y z (fractional)
N 0.6457 0.8229 0.2974
Ac 0.3333 0.6667 0.6578
N 0.1771 0.8229 0.2974
N 0.8229 0.6457 0.7026
N 0.8229 0.1771 0.7026
P 0.3333 0.6667 0.2061
N 0.1771 0.3543 0.2974
Ac 0.6667 0.3333 0.3422
Mg 0.0000 0.0000 0.5000
N 0.3543 0.1771 0.7026
Ac 0.0000 0.0000 0.0000
P 0.6667 0.3333 0.7939

=====

A relaxed AcMg2PN4 crystal. Source: the Alexandria database, functional PBE.

## Properties
**DOS at the Fermi energy**: 0.00 states/eV per atom
**E_form (uncorrected)**: -0.98 eV per atom

Cell: 5.4535 5.5548 7.2010 Å, 90.00 90.00 90.00°
Element x y z (fractional)
Mg 0.9986 0.6546 0.7589
N 0.3673 0.6893 0.3123
Mg 0.4986 0.3454 0.2589
Mg 0.9986 0.6546 0.2411
Mg 0.4986 0.3454 0.7411
N 0.8014 0.7284 0.5000
Ac 0.9900 0.1404 0.5000
N 0.8673 0.3107 0.8123
N 0.8673 0.3107 0.1877
P 0.5016 0.8019 0.5000
N 0.3014 0.2716 0.0000
N 0.4752 0.1078 0.5000
Ac 0.4900 0.8596 0.0000
N 0.9752 0.8922 0.0000
N 0.3673 0.6893 0.6877
P 0.0016 0.1981 0.0000

=====

A relaxed Ac2MgP2N6 crystal. Source: the Alexandria database, functional PBE.

## Properties
**E_form (uncorrected)**: -0.73 eV per atom

Cell: 5.7192 5.7192 6.1960 Å, 90.00 90.00 120.00°
Element x y z (fractional)
N 0.2258 0.8732 0.7818
N 0.6474 0.7742 0.7818
Ac 0.3333 0.6667 0.2712
P 0.6667 0.3333 0.2165
Ac 0.6667 0.3333 0.7288
N 0.3526 0.2258 0.2182
N 0.1268 0.3526 0.7818
N 0.7742 0.1268 0.2182
Mg 0.0000 0.0000 0.0000
P 0.3333 0.6667 0.7835
N 0.8732 0.6474 0.2182